# CsSrSeN2

A geometry-optimized CsSrSeN2 structure (PBE, Alexandria via LeMat-Bulk).

Magnetization = 2.12 μB/f.u.
Relative energy among the computed polymorphs = 0.568 eV per atom
Space group = P4/mmm
D(E_F) = 3.6 states/eV/cell
Raw formation energy = 1.262 eV/atom

The structure in POSCAR format:
```
CsSrSeN2
1.0
4.548 0.000 0.000
0.000 4.548 0.000
0.000 0.000 6.895
Cs Sr Se N
1 1 1 2
direct
0.000 0.000 0.000 Cs
0.500 0.500 0.500 Sr
0.000 0.000 0.500 Se
0.000 0.500 0.000 N
0.500 0.000 0.000 N
```


# CsSrSeN2

A geometry-optimized CsSrSeN2 structure (PBE, Alexandria via LeMat-Bulk).

Magnetization = 5.04 μB/f.u.
Relative energy among the computed polymorphs = 0.000 eV per atom
Space group = P4/mmm
D(E_F) = 3.6 states/eV/cell
Raw formation energy = 0.695 eV/atom

The structure in POSCAR format:
```
CsSrSeN2
1.0
5.254 0.000 0.000
0.000 5.254 0.000
0.000 0.000 6.088
Cs Sr Se N
1 1 1 2
direct
0.000 0.000 0.000 Cs
0.500 0.500 0.500 Sr
0.500 0.500 0.000 Se
0.000 0.500 0.500 N
0.500 0.000 0.500 N
```


# CsTaSe2N

A geometry-optimized CsTaSe2N structure (PBE, Alexandria via LeMat-Bulk).

Magnetization = 3.03 μB/f.u.
Relative energy among the computed polymorphs = 2.793 eV per atom
Space group = P4/mmm
D(E_F) = 6.4 states/eV/cell
Raw formation energy = 2.368 eV/atom

The structure in POSCAR format:
```
CsTaSe2N
1.0
5.755 0.000 0.000
0.000 5.755 0.000
0.000 0.000 4.175
Cs Ta Se N
1 1 2 1
direct
0.000 0.000 0.000 Cs
0.500 0.500 0.500 Ta
0.000 0.500 0.000 Se
0.500 0.000 0.000 Se
0.000 0.000 0.500 N
```


# CsTaSe2N

A geometry-optimized CsTaSe2N structure (PBE, Alexandria via LeMat-Bulk).

Magnetization = 0.89 μB/f.u.
Relative energy among the computed polymorphs = 0.000 eV per atom
Space group = P4/mmm
D(E_F) = 3.4 states/eV/cell
Raw formation energy = -0.425 eV/atom

The structure in POSCAR format:
```
CsTaSe2N
1.0
5.361 0.000 0.000
0.000 5.361 0.000
0.000 0.000 4.081
Cs Ta Se N
1 1 2 1
direct
0.000 0.000 0.000 Cs
0.500 0.500 0.500 Ta
0.000 0.500 0.500 Se
0.500 0.000 0.500 Se
0.500 0.500 0.000 N
```


# CsTcSeN2

A geometry-optimized CsTcSeN2 structure (PBE, Alexandria via LeMat-Bulk).

Magnetization = 3.81 μB/f.u.
Relative energy among the computed polymorphs = 2.072 eV per atom
Space group = P4/mmm
D(E_F) = 2.7 states/eV/cell
Raw formation energy = 2.728 eV/atom

The structure in POSCAR format:
```
CsTcSeN2
1.0
4.222 0.000 0.000
0.000 4.222 0.000
0.000 0.000 6.883
Cs Tc Se N
1 1 1 2
direct
0.000 0.000 0.000 Cs
0.500 0.500 0.500 Tc
0.000 0.000 0.500 Se
0.000 0.500 0.000 N
0.500 0.000 0.000 N
```


# CsTcSeN2

A geometry-optimized CsTcSeN2 structure (PBE, Alexandria via LeMat-Bulk).

Magnetization = 0.00 μB/f.u.
Relative energy among the computed polymorphs = 0.000 eV per atom
Space group = P4/mmm
D(E_F) = 3.9 states/eV/cell
Raw formation energy = 0.656 eV/atom

The structure in POSCAR format:
```
CsTcSeN2
1.0
4.126 0.000 0.000
0.000 4.126 0.000
0.000 0.000 5.257
Cs Tc Se N
1 1 1 2
direct
0.000 0.000 0.000 Cs
0.500 0.500 0.500 Tc
0.500 0.500 0.000 Se
0.000 0.500 0.500 N
0.500 0.000 0.500 N
```